Arrangement i

Computed, not measured: an optimized crystal structure of Cd2In12Sn5 at the GGA-PBE level of DFT.

Calculated values
* space group: C2/m (12)
* calculated volume: 522.8 Å³ per cell
* N(E_F): 0.2780 states/eV per atom

Cell lengths 4.3988, 12.8644, 12.8644 Å; angles 46.82, 80.84, 80.84 degrees
Fractional positions:
Cd 0.0000 0.2614 0.7386
Cd 0.0000 0.7386 0.2614
In 0.0976 0.9027 0.9027
In 0.2020 0.5482 0.0533
In 0.2020 0.0533 0.5482
In 0.5963 0.6487 0.1604
In 0.5963 0.1604 0.6487
In 0.0948 0.4122 0.4122
In 0.9052 0.5878 0.5878
In 0.4037 0.3513 0.8396
In 0.4037 0.8396 0.3513
In 0.7980 0.4518 0.9467
In 0.7980 0.9467 0.4518
In 0.9024 0.0973 0.0973
Sn 0.3010 0.1979 0.1979
Sn 0.7045 0.3042 0.3042
Sn 0.5000 0.0000 0.0000
Sn 0.2955 0.6958 0.6958
Sn 0.6990 0.8021 0.8021

=====

Arrangement ii

Computed, not measured: an optimized crystal structure of Cd2In12Sn5 at the GGA-PBE level of DFT.

Calculated values
* space group: C2/m (12)
* calculated volume: 571.6 Å³ per cell
* N(E_F): 0.4563 states/eV per atom

Cell lengths 7.3588, 9.0945, 9.3413 Å; angles 91.06, 90.00, 113.86 degrees
Fractional positions:
Cd 0.7000 0.0000 0.0000
Cd 0.3000 0.0000 0.0000
In 0.0428 0.0856 0.1941
In 0.0475 0.6235 0.8742
In 0.5760 0.6235 0.8742
In 0.1140 0.7195 0.4078
In 0.6055 0.7195 0.4078
In 0.4740 0.9481 0.6714
In 0.5260 0.0519 0.3286
In 0.8860 0.2805 0.5922
In 0.3945 0.2805 0.5922
In 0.9525 0.3765 0.1258
In 0.4240 0.3765 0.1258
In 0.9572 0.9144 0.8059
Sn 0.2838 0.5677 0.6332
Sn 0.3540 0.7080 0.1348
Sn 0.0000 0.0000 0.5000
Sn 0.6460 0.2920 0.8652
Sn 0.7162 0.4323 0.3668

=====

It is arrangement i that is most stable; the runner-up trails by 0.042 eV/atom.

=====

Arrangement i

Computed, not measured: an optimized crystal structure of Cd2In8Sn at the GGA-PBE level of DFT.

Calculated values
* space group: P1 (1)
* calculated volume: 303.1 Å³ per cell
* N(E_F): 0.3269 states/eV per atom

Cell lengths 3.2897, 7.8555, 12.0266 Å; angles 82.54, 81.02, 94.09 degrees
Fractional positions:
In 0.9721 0.6507 0.1524
In 0.1474 0.9771 0.6883
In 0.2731 0.7053 0.3961
In 0.4930 0.3247 0.0523
In 0.7247 0.2953 0.5432
In 0.8508 0.0235 0.2511
In 0.0275 0.3497 0.7869
In 0.5072 0.6758 0.8871
Sn 0.0003 0.0002 0.9699
Cd 0.3556 0.3409 0.3189
Cd 0.6429 0.6597 0.6205

=====

Arrangement ii

Computed, not measured: an optimized crystal structure of Cd2In8Sn at the GGA-PBE level of DFT.

Calculated values
* space group: C2/m (12)
* calculated volume: 324.0 Å³ per cell
* N(E_F): 0.4041 states/eV per atom

Cell lengths 5.4348, 8.1204, 8.1204 Å; angles 69.93, 77.15, 77.15 degrees
Fractional positions:
Cd 0.4612 0.1420 0.1420
Cd 0.5388 0.8580 0.8580
In 0.7831 0.2009 0.6489
In 0.2169 0.3511 0.7991
In 0.8941 0.2495 0.2495
In 0.1059 0.7505 0.7505
In 0.7831 0.6489 0.2009
In 0.2169 0.7991 0.3511
In 0.2904 0.3896 0.3896
In 0.7096 0.6104 0.6104
Sn 0.0000 0.0000 0.0000

=====

It is arrangement i that is most stable; the runner-up trails by 0.049 eV/atom.

=====

Arrangement i

Computed, not measured: an optimized crystal structure of CdIn8Sn2 at the GGA-PBE level of DFT.

Calculated values
* space group: C2/m (12)
* calculated volume: 326.1 Å³ per cell
* N(E_F): 0.4408 states/eV per atom

Cell lengths 5.6068, 7.8786, 7.8786 Å; angles 72.14, 81.81, 81.81 degrees
Fractional positions:
Cd 0.0000 0.0000 0.0000
In 0.7865 0.2000 0.6483
In 0.2135 0.3517 0.8000
In 0.9162 0.2499 0.2499
In 0.0838 0.7501 0.7501
In 0.7865 0.6483 0.2000
In 0.2135 0.8000 0.3517
In 0.3323 0.3889 0.3889
In 0.6677 0.6111 0.6111
Sn 0.4737 0.1313 0.1313
Sn 0.5263 0.8687 0.8687

=====

Arrangement ii

Computed, not measured: an optimized crystal structure of CdIn8Sn2 at the GGA-PBE level of DFT.

Calculated values
* space group: C2/m (12)
* calculated volume: 307.0 Å³ per cell
* N(E_F): 0.4366 states/eV per atom

Cell lengths 5.7815, 6.2997, 9.3454 Å; angles 109.70, 105.67, 90.00 degrees
Fractional positions:
Cd 0.0000 0.0000 0.0000
In 0.4819 0.3354 0.1766
In 0.5181 0.1588 0.8234
In 0.9656 0.8166 0.6331
In 0.0344 0.1834 0.3669
In 0.4819 0.8412 0.1766
In 0.5181 0.6646 0.8234
In 0.9562 0.5855 0.1710
In 0.0438 0.4145 0.8290
Sn 0.4041 0.7396 0.4792
Sn 0.5959 0.2604 0.5208

=====

It is arrangement ii that is most stable; the runner-up trails by 0.048 eV/atom.

=====

Arrangement i

Computed, not measured: an optimized crystal structure of CdInSn4 at the GGA-PBE level of DFT.

Calculated values
* space group: Cmmm (65)
* calculated volume: 361.2 Å³ per cell
* N(E_F): 0.3006 states/eV per atom

Cell lengths 6.4093, 6.4270, 8.7695 Å; angles 90.00, 90.00, 90.00 degrees
Fractional positions:
Cd 0.0000 0.2500 0.7500
Cd 0.0000 0.7500 0.2500
In 0.5000 0.2500 0.2499
In 0.5000 0.7500 0.7501
Sn 0.2465 0.5001 0.0001
Sn 0.2466 0.5004 0.5000
Sn 0.7535 0.9999 0.0001
Sn 0.7534 0.4996 0.5000
Sn 0.7534 0.9996 0.5000
Sn 0.2465 0.0001 0.9999
Sn 0.2466 0.0004 0.5000
Sn 0.7535 0.4999 0.9999

=====

Arrangement ii

Computed, not measured: an optimized crystal structure of CdInSn4 at the GGA-PBE level of DFT.

Calculated values
* space group: F-43m (216)
* calculated volume: 173.6 Å³ per cell
* N(E_F): 0.6091 states/eV per atom

Cell lengths 6.2617, 6.2617, 6.2617 Å; angles 60.00, 60.00, 60.00 degrees
Fractional positions:
Cd 0.0000 0.0000 0.0000
Sn 0.6250 0.6250 0.1251
Sn 0.6250 0.1251 0.6250
Sn 0.6250 0.6250 0.6250
Sn 0.1251 0.6250 0.6250
In 0.2500 0.2500 0.2500

=====

Arrangement iii

Computed, not measured: an optimized crystal structure of CdInSn4 at the GGA-PBE level of DFT.

Calculated values
* space group: C2/m (12)
* calculated volume: 162.7 Å³ per cell
* N(E_F): 0.3963 states/eV per atom

Cell lengths 5.6166, 6.2347, 6.2347 Å; angles 96.22, 116.23, 116.23 degrees
Fractional positions:
Cd 0.0000 0.5000 0.0000
In 0.5000 0.0000 0.5000
Sn 0.2504 0.4220 0.5783
Sn 0.2504 0.0783 0.9220
Sn 0.7496 0.9217 0.0780
Sn 0.7496 0.5780 0.4217

=====

It is arrangement iii that is most stable; the runner-up trails by 0.062 eV/atom.

=====

Arrangement i

Computed, not measured: an optimized crystal structure of SrCdIn6 at the GGA-PBE level of DFT.

Calculated values
* space group: P4/mmm (123)
* calculated volume: 235.3 Å³ per cell
* N(E_F): 0.3008 states/eV per atom

Cell lengths 5.1835, 5.1835, 8.7590 Å; angles 90.00, 90.00, 90.00 degrees
Fractional positions:
Sr 0.0000 0.0000 0.0000
Cd 0.0000 0.0000 0.5000
In 0.5000 0.0000 0.6767
In 0.0000 0.5000 0.6767
In 0.5000 0.5000 0.1594
In 0.5000 0.5000 0.8406
In 0.0000 0.5000 0.3233
In 0.5000 0.0000 0.3233

=====

Arrangement ii

Computed, not measured: an optimized crystal structure of SrCdIn6 at the GGA-PBE level of DFT.

Calculated values
* space group: Cmmm (65)
* calculated volume: 223.2 Å³ per cell
* N(E_F): 0.4480 states/eV per atom

Cell lengths 4.4488, 7.0967, 7.0967 Å; angles 94.91, 90.00, 90.00 degrees
Fractional positions:
Sr 0.5000 0.5000 0.5000
Cd 0.5000 0.0000 0.0000
In 0.0000 0.7616 0.2384
In 0.0000 0.2384 0.7616
In 0.0000 0.7784 0.7784
In 0.0000 0.2216 0.2216
In 0.5000 0.5000 0.0000
In 0.5000 0.0000 0.5000

=====

It is arrangement i that is most stable; the runner-up trails by 0.018 eV/atom.

=====

Arrangement i

Computed, not measured: an optimized crystal structure of SrCd9In2 at the GGA-PBE level of DFT.

Calculated values
* space group: I4_1/amd (141)
* calculated volume: 600.0 Å³ per cell
* N(E_F): 0.3949 states/eV per atom

Cell lengths 8.3090, 9.4587, 9.4587 Å; angles 78.88, 63.95, 63.95 degrees
Fractional positions:
Sr 0.5000 0.0000 0.0000
Sr 0.2500 0.5000 0.5000
Cd 0.7500 0.5000 0.5000
Cd 0.0000 0.0000 0.0000
Cd 0.9967 0.9158 0.6751
Cd 0.5875 0.0842 0.3249
Cd 0.6624 0.1751 0.5842
Cd 0.4218 0.8249 0.4158
Cd 0.7533 0.8249 0.5842
Cd 0.1625 0.1751 0.4158
Cd 0.0876 0.9158 0.3249
Cd 0.3282 0.0842 0.6751
Cd 0.7533 0.5842 0.8249
Cd 0.1625 0.4158 0.1751
Cd 0.0876 0.3249 0.9158
Cd 0.3282 0.6751 0.0842
Cd 0.9967 0.6751 0.9158
Cd 0.5875 0.3249 0.0842
Cd 0.6624 0.5842 0.1751
Cd 0.4218 0.4158 0.8249
In 0.8750 0.2500 0.7500
In 0.8750 0.7500 0.2500
In 0.8750 0.2500 0.2500
In 0.3750 0.7500 0.7500

=====

Arrangement ii

Computed, not measured: an optimized crystal structure of SrCd9In2 at the GGA-PBE level of DFT.

Calculated values
* space group: P6/mmm (191)
* calculated volume: 308.0 Å³ per cell
* N(E_F): 0.3640 states/eV per atom

Cell lengths 3.6573, 9.8607, 9.8607 Å; angles 120.00, 90.00, 90.00 degrees
Fractional positions:
Sr 0.0000 0.0000 0.0000
Cd 0.5000 0.8214 0.1786
Cd 0.0000 0.0000 0.5000
Cd 0.0000 0.5000 0.5000
Cd 0.5000 0.8214 0.6428
Cd 0.5000 0.1786 0.8214
Cd 0.5000 0.6428 0.8214
Cd 0.5000 0.1786 0.3572
Cd 0.0000 0.5000 0.0000
Cd 0.5000 0.3572 0.1786
In 0.0000 0.6667 0.3333
In 0.0000 0.3333 0.6667

=====

It is arrangement i that is most stable; the runner-up trails by 0.062 eV/atom.

=====

Arrangement i

Computed, not measured: an optimized crystal structure of SrCd6In at the GGA-PBE level of DFT.

Calculated values
* space group: P4/mmm (123)
* calculated volume: 218.0 Å³ per cell
* N(E_F): 0.4598 states/eV per atom

Cell lengths 4.7095, 4.7095, 9.8302 Å; angles 90.00, 90.00, 90.00 degrees
Fractional positions:
Sr 0.0000 0.0000 0.0000
Cd 0.5000 0.0000 0.6842
Cd 0.0000 0.5000 0.6842
Cd 0.5000 0.5000 0.1416
Cd 0.5000 0.5000 0.8584
Cd 0.0000 0.5000 0.3158
Cd 0.5000 0.0000 0.3158
In 0.0000 0.0000 0.5000

=====

Arrangement ii

Computed, not measured: an optimized crystal structure of SrCd6In at the GGA-PBE level of DFT.

Calculated values
* space group: P6/mmm (191)
* calculated volume: 214.6 Å³ per cell
* N(E_F): 0.4714 states/eV per atom

Cell lengths 6.0466, 6.0466, 6.7766 Å; angles 90.00, 90.00, 119.99 degrees
Fractional positions:
Sr 0.0000 0.0000 0.5000
Cd 0.5000 0.0000 0.7595
Cd 0.0000 0.5000 0.7595
Cd 0.5000 0.5000 0.2414
Cd 0.5000 0.5000 0.7586
Cd 0.0000 0.5000 0.2405
Cd 0.5000 0.0000 0.2405
In 0.0000 0.0000 0.0000

=====

It is arrangement i that is most stable; the runner-up trails by 0.043 eV/atom.

=====

Arrangement i

Computed, not measured: an optimized crystal structure of SrCd6In4 at the GGA-PBE level of DFT.

Calculated values
* space group: I-42m (121)
* calculated volume: 328.6 Å³ per cell
* N(E_F): 0.5143 states/eV per atom

Cell lengths 7.6520, 7.6520, 7.6520 Å; angles 94.79, 117.28, 117.28 degrees
Fractional positions:
Sr 0.0000 0.0000 0.0000
Cd 0.0000 0.8075 0.5259
Cd 0.0000 0.5259 0.8075
Cd 0.7184 0.1925 0.1925
Cd 0.5000 0.0000 0.5000
Cd 0.2816 0.4741 0.4741
Cd 0.5000 0.5000 0.0000
In 0.0000 0.1739 0.6080
In 0.5659 0.3920 0.3920
In 0.0000 0.6080 0.1739
In 0.4341 0.8261 0.8261

=====

Arrangement ii

Computed, not measured: an optimized crystal structure of SrCd6In4 at the GGA-PBE level of DFT.

Calculated values
* space group: P-6m2 (187)
* calculated volume: 291.9 Å³ per cell
* N(E_F): 0.3204 states/eV per atom

Cell lengths 4.6211, 8.5397, 8.5397 Å; angles 120.00, 90.00, 90.00 degrees
Fractional positions:
Sr 0.0000 0.0000 0.0000
Cd 0.0000 0.5340 0.0681
Cd 0.5000 0.6052 0.8026
Cd 0.0000 0.5340 0.4660
Cd 0.0000 0.9319 0.4660
Cd 0.5000 0.1974 0.8026
Cd 0.5000 0.1974 0.3948
In 0.5000 0.8003 0.6007
In 0.5000 0.3993 0.1997
In 0.5000 0.8003 0.1997
In 0.0000 0.3333 0.6667

=====

It is arrangement ii that is most stable; the runner-up trails by 0.116 eV/atom.

=====

Arrangement i

Computed, not measured: an optimized crystal structure of SrCd2In3 at the GGA-PBE level of DFT.

Calculated values
* space group: P6/mmm (191)
* calculated volume: 170.9 Å³ per cell
* N(E_F): 0.2858 states/eV per atom

Cell lengths 6.3086, 6.3086, 4.9587 Å; angles 90.00, 90.00, 120.00 degrees
Fractional positions:
Sr 0.0000 0.0000 0.5000
Cd 0.6667 0.3333 0.4999
Cd 0.3333 0.6667 0.5001
In 0.5000 0.0000 0.0000
In 0.5000 0.5000 0.0000
In 0.0000 0.5000 0.0000

=====

Arrangement ii

Computed, not measured: an optimized crystal structure of SrCd2In3 at the GGA-PBE level of DFT.

Calculated values
* space group: C2/m (12)
* calculated volume: 335.4 Å³ per cell
* N(E_F): 0.4215 states/eV per atom

Cell lengths 5.0275, 9.2194, 9.2201 Å; angles 55.58, 74.18, 74.18 degrees
Fractional positions:
Sr 0.8676 0.1321 0.1327
Sr 0.1324 0.8679 0.8673
Cd 0.5000 0.1630 0.8370
Cd 0.5000 0.8370 0.1630
Cd 0.8069 0.6933 0.6929
Cd 0.1931 0.3067 0.3071
In 0.3261 0.4716 0.8763
In 0.9996 0.3354 0.6654
In 0.6738 0.1240 0.5284
In 0.3262 0.8760 0.4716
In 0.0004 0.6646 0.3346
In 0.6739 0.5284 0.1237

=====

It is arrangement ii that is most stable; the runner-up trails by 0.026 eV/atom.

=====

Arrangement i

Computed, not measured: an optimized crystal structure of SrTbCdIn at the GGA-PBE level of DFT.

Calculated values
* space group: P4mm (99)
* calculated volume: 119.4 Å³ per cell
* N(E_F): 0.7243 states/eV per atom

Cell lengths 3.8624, 3.8624, 8.0012 Å; angles 90.00, 90.00, 90.00 degrees
Fractional positions:
Sr 0.0000 0.0000 0.8557
Tb 0.0000 0.0000 0.3602
Cd 0.5000 0.5000 0.5784
In 0.5000 0.5000 0.1337

=====

Arrangement ii

Computed, not measured: an optimized crystal structure of SrTbCdIn at the GGA-PBE level of DFT.

Calculated values
* space group: F-43m (216)
* calculated volume: 119.2 Å³ per cell
* N(E_F): 0.6660 states/eV per atom

Cell lengths 5.5238, 5.5238, 5.5238 Å; angles 60.00, 60.00, 60.00 degrees
Fractional positions:
Sr 0.0000 0.0000 0.0000
Cd 0.7500 0.7500 0.7500
Tb 0.5000 0.5000 0.5000
In 0.2500 0.2500 0.2500

=====

It is arrangement i that is most stable; the runner-up trails by 0.038 eV/atom.